A relaxed structure of RbNiPO2. Source: Alexandria, functional PBE+U.

Geometry as extended XYZ:
```
5
Lattice="4.197 0.000 0.000 0.000 4.197 0.000 0.000 0.000 6.737" Properties=species:S:1:pos:R:3 pbc="T T T"
Rb 0.000 0.000 0.000
Ni 2.099 2.099 3.368
P 0.000 0.000 3.368
O 0.000 2.099 0.000
O 2.099 0.000 0.000
```

Output
The density of states at the Fermi level is 2.58 states/eV/cell. The value obtained for the spin magnetization is 3.8 μB per formula unit. For the polymorph energy (0 for the lowest one), the calculation gives 1.314 eV per atom.